The following is a PBE calculation of an optimized crystal structure of CsHfV2, from the Alexandria database.

Cell lengths 4.687, 4.687, 19.230 Å; angles 90.00, 90.00, 90.00 degrees
Space group I-42d (No. 122)
Inequivalent atoms, fractional coordinates:
Cs: 0.000 0.000 0.000 x4
Hf: 0.000 0.000 0.500 x4
V: 0.093 0.250 0.625 x8

**DFT formation energy**: 7.4 eV per formula unit
**DOS(E_F)**: 24.613 states/eV/cell